[1]
Cs2GaRhCl6: relaxed, PBE.

## Properties
* space group: No. 139
* formation energy without anion corrections: -12.389 eV/f.u.

abc: 7.3879 7.3879 7.3821
angles: 59.97 59.97 90.00
Last column: nearest neighbours and their distance in Å.
Atoms (fractional coordinates):
Cl: 0.2298 0.2298 0.0000  1 Rh 2.40
Cl: 0.7702 0.2298 0.0000  1 Rh 2.40
Cl: 0.7697 0.7697 0.4606  1 Rh 2.40
Cl: 0.2298 0.7702 0.0000  1 Rh 2.40
Cl: 0.2303 0.2303 0.5394  1 Rh 2.40
Cl: 0.7702 0.7702 0.0000  1 Rh 2.40
Cs: 0.2500 0.7500 0.5000  12 Cl 3.70
Cs: 0.7500 0.2500 0.5000  12 Cl 3.70
Ga: 0.5000 0.5000 0.0000  6 Cl 2.81-2.82
Rh: 0.0000 0.0000 0.0000  6 Cl 2.40

---

[2]
YHo2Ru: relaxed, PBE.

## Properties
* space group: No. 166
* ΔE_f: 0.4 eV/f.u.
* ΔE to the lowest computed polymorph: 422.4 meV per atom

abc: 3.4936 3.4936 10.8065
angles: 80.70 80.70 60.00
Last column: nearest neighbours and their distance in Å.
Atoms (fractional coordinates):
Ru: 0.5000 0.5000 0.5000  6 Ho 2.77
Y: 0.0000 0.0000 0.0000  2 Ho 3.42, 6 Y 3.49
Ho: 0.8927 0.8927 0.3218  3 Ru 2.77
Ho: 0.1073 0.1073 0.6782  3 Ru 2.77

---

[3]
LaSc2Sb: relaxed, PBE.

## Properties
* space group: No. 123
* formation energy without anion corrections: -1.736 eV/f.u.

abc: 3.7964 3.7964 7.2277
angles: 90.00 90.00 89.99
Last column: nearest neighbours and their distance in Å.
Atoms (fractional coordinates):
Sc: 0.0000 0.0000 0.9581  1 Sc 3.01, 4 Sb 3.08
Sc: 0.0000 0.0000 0.5419  1 Sc 3.01, 4 Sb 3.08
Sb: 0.5000 0.5000 0.7500  8 Sc 3.08
La: 0.5000 0.5000 0.2500  8 Sc 3.41, 2 Sb 3.61, 4 La 3.80

---

[4]
KSrCd10: relaxed, PBE.

## Properties
* space group: No. 47
* ΔE_f: -1.6 eV/f.u.

abc: 4.8923 6.1490 10.6229
angles: 90.00 90.00 90.00
Last column: nearest neighbours and their distance in Å.
Atoms (fractional coordinates):
Cd: 0.0000 0.5000 0.1652  6 Cd 3.01-3.04
Cd: 0.5000 0.7430 0.7398  8 Cd 2.99-3.16
Cd: 0.0000 0.0000 0.3326  6 Cd 3.01-3.02
Cd: 0.0000 0.0000 0.6674  6 Cd 3.01-3.02
Cd: 0.5000 0.7430 0.2602  8 Cd 2.99-3.16
Cd: 0.0000 0.5000 0.8348  6 Cd 3.01-3.04
Cd: 0.5000 0.2570 0.7398  8 Cd 2.99-3.16
Cd: 0.5000 0.0000 0.5000  8 Cd 3.00-3.02
Cd: 0.5000 0.5000 0.0000  8 Cd 3.01-3.14
Cd: 0.5000 0.2570 0.2602  8 Cd 2.99-3.16
K: 0.0000 0.0000 0.0000  10 Cd 3.53-3.93
Sr: 0.0000 0.5000 0.5000  18 Cd 3.55-3.93

---

[5]
KHoTm4S8: relaxed, PBE.

## Properties
* space group: No. 160
* formation energy without anion corrections: -26.971 eV/f.u.

abc: 8.1123 8.1123 8.1426
angles: 60.12 60.12 60.00
Last column: nearest neighbours and their distance in Å.
Atoms (fractional coordinates):
S: 0.2284 0.7564 0.2589  3 Tm 2.63-2.85, 1 Ho 2.86
S: 0.2328 0.2328 0.3015  3 Tm 2.63, 1 K 2.82
S: 0.7998 0.2347 0.7307  2 Tm 2.63, 1 Ho 2.65, 1 K 2.82
S: 0.7564 0.7564 0.2589  3 Tm 2.63-2.85, 1 Ho 2.86
S: 0.2347 0.7998 0.7307  2 Tm 2.63, 1 Ho 2.65, 1 K 2.82
S: 0.7564 0.2284 0.2589  3 Tm 2.63-2.85, 1 Ho 2.86
S: 0.7575 0.7575 0.7276  4 Tm 2.64-2.85
S: 0.2347 0.2347 0.7307  2 Tm 2.63, 1 Ho 2.65, 1 K 2.82
Tm: 0.4861 0.0046 0.5047  6 S 2.63-2.85
Tm: 0.0046 0.4861 0.5047  6 S 2.63-2.85
Tm: 0.6252 0.6252 0.1244  4 S 2.63-2.64
Tm: 0.0046 0.0046 0.5047  6 S 2.63-2.85
K: 0.3739 0.3739 0.8784  4 S 2.82
Ho: 0.0049 0.0049 0.9854  6 S 2.65-2.86

---

[6]
ScC3: relaxed, PBE.

## Properties
* space group: No. 221
* ΔE_f: 13.5 eV/f.u.
* ΔE to the lowest computed polymorph: 3137.9 meV per atom

abc: 4.3341 4.3341 4.3341
angles: 90.00 90.00 90.00
Last column: nearest neighbours and their distance in Å.
Atoms (fractional coordinates):
Sc: 0.0000 0.0000 0.0000  6 C 2.17
C: 0.0000 0.0000 0.5000  2 Sc 2.17
C: 0.0000 0.5000 0.0000  2 Sc 2.17
C: 0.5000 0.0000 0.0000  2 Sc 2.17

---

[7]
CeSmHgPd: relaxed, PBE.

## Properties
* space group: No. 216
* ΔE_f: -1.9 eV/f.u.

abc: 5.2328 5.2328 5.2328
angles: 60.00 60.00 60.00
Last column: nearest neighbours and their distance in Å.
Atoms (fractional coordinates):
Pd: 0.0000 0.0000 0.0000  4 Sm 3.20, 4 Ce 3.20
Ce: 0.2500 0.2500 0.2500  4 Pd 3.20, 4 Hg 3.20
Hg: 0.5000 0.5000 0.5000  4 Ce 3.20, 4 Sm 3.20
Sm: 0.7500 0.7500 0.7500  4 Hg 3.20, 4 Pd 3.20

---

[8]
CsNaMg: relaxed, PBE.

## Properties
* space group: No. 12
* ΔE_f: 0.4 eV/f.u.
* ΔE to the lowest computed polymorph: 5.6 meV per atom

abc: 13.5217 5.4268 9.3827
angles: 90.00 103.33 90.00
Last column: nearest neighbours and their distance in Å.
Atoms (fractional coordinates):
Cs: 0.1720 0.5000 0.7253  3 Na 4.17, 1 Mg 4.46
Cs: 0.8280 0.0000 0.7747  3 Na 4.17, 1 Mg 4.46
Cs: 0.1720 0.0000 0.2253  3 Na 4.17, 1 Mg 4.46
Cs: 0.8280 0.5000 0.2747  3 Na 4.17, 1 Mg 4.46
Mg: 0.4894 0.0000 0.6642  3 Mg 3.13-3.16, 3 Na 3.43-3.44
Mg: 0.4894 0.5000 0.1642  3 Mg 3.13-3.16, 3 Na 3.43-3.44
Mg: 0.5106 0.0000 0.3358  3 Mg 3.13-3.16, 3 Na 3.43-3.44
Mg: 0.5106 0.5000 0.8358  3 Mg 3.13-3.16, 3 Na 3.43-3.44
Na: 0.3813 0.0000 0.9609  1 Na 3.12, 3 Mg 3.43-3.44
Na: 0.6187 0.5000 0.5391  1 Na 3.12, 3 Mg 3.43-3.44
Na: 0.3813 0.5000 0.4609  1 Na 3.12, 3 Mg 3.43-3.44
Na: 0.6187 0.0000 0.0391  1 Na 3.12, 3 Mg 3.43-3.44

---

[9]
VNiMo: relaxed, PBE.

## Properties
* space group: No. 65
* ΔE_f: 0.0 eV/f.u.
* ΔE to the lowest computed polymorph: 125.8 meV per atom

abc: 4.1461 9.2195 4.1851
angles: 90.00 90.00 90.00
Last column: nearest neighbours and their distance in Å.
Atoms (fractional coordinates):
Ni: 0.0000 0.1795 0.0000  2 Ni 2.45, 2 V 2.53, 4 Mo 2.65-2.67
Ni: 0.0000 0.8205 0.0000  2 Ni 2.45, 2 V 2.53, 4 Mo 2.65-2.67
Ni: 0.5000 0.3205 0.0000  2 Ni 2.45, 2 V 2.53, 4 Mo 2.65-2.67
Ni: 0.5000 0.6795 0.0000  2 Ni 2.45, 2 V 2.53, 4 Mo 2.65-2.67
V: 0.0000 0.6662 0.5000  2 Ni 2.53, 4 Mo 2.58-2.59, 2 V 2.59
V: 0.5000 0.8338 0.5000  2 Ni 2.53, 4 Mo 2.58-2.59, 2 V 2.59
V: 0.0000 0.3338 0.5000  2 Ni 2.53, 4 Mo 2.58-2.59, 2 V 2.59
V: 0.5000 0.1662 0.5000  2 Ni 2.53, 4 Mo 2.58-2.59, 2 V 2.59
Mo: 0.5000 0.5000 0.5000  4 V 2.58, 4 Ni 2.67
Mo: 0.0000 0.5000 0.0000  4 V 2.59, 4 Ni 2.65
Mo: 0.5000 0.0000 0.0000  4 V 2.59, 4 Ni 2.65
Mo: 0.0000 0.0000 0.5000  4 V 2.58, 4 Ni 2.67

---

[10]
Ca2TlFeOs: relaxed, PBE.

## Properties
* space group: No. 123
* ΔE_f: 5.8 eV/f.u.

abc: 5.1376 4.9162 5.1376
angles: 90.00 90.00 90.00
Last column: nearest neighbours and their distance in Å.
Atoms (fractional coordinates):
Tl: 0.0000 0.5000 0.0000  2 Fe 2.46
Ca: 0.5000 0.0000 0.0000  2 Fe 2.57
Ca: 0.0000 0.0000 0.5000  2 Fe 2.57
Fe: 0.0000 0.0000 0.0000  2 Tl 2.46, 4 Ca 2.57
Os: 0.5000 0.5000 0.5000  8 Ca 3.56, 4 Tl 3.63

---

[11]
KLiAl: relaxed, PBE.

## Properties
* space group: No. 8
* ΔE_f: 0.1 eV/f.u.
* ΔE to the lowest computed polymorph: 26.9 meV per atom

abc: 11.9485 4.5286 7.8604
angles: 90.00 102.24 90.00
Last column: nearest neighbours and their distance in Å.
Atoms (fractional coordinates):
Li: 0.2206 0.5000 0.9669  1 Al 2.62
Li: 0.2206 0.0000 0.4669  1 Al 2.62
Li: 0.1031 0.5000 0.2622  6 Al 2.69-2.91, 3 Li 2.95-2.96
Li: 0.1031 0.0000 0.7622  6 Al 2.69-2.91, 3 Li 2.95-2.96
K: 0.7908 0.5000 0.1601  3 Al 3.55, 1 Li 3.65
K: 0.7908 0.0000 0.6601  3 Al 3.55, 1 Li 3.65
K: 0.4435 0.5000 0.7047  3 Li 3.69-3.70
K: 0.4435 0.0000 0.2047  3 Li 3.69-3.70
Al: 0.9961 0.0000 0.3934  4 Li 2.62-2.91, 3 Al 2.69
Al: 0.0504 0.5000 0.5783  3 Li 2.69, 3 Al 2.69
Al: 0.0504 0.0000 0.0783  3 Li 2.69, 3 Al 2.69
Al: 0.9961 0.5000 0.8934  4 Li 2.62-2.91, 3 Al 2.69

---

[12]
PrDy3H8: relaxed, PBE.

## Properties
* space group: No. 221

abc: 5.2674 5.2674 5.2674
angles: 90.00 90.00 90.00
Last column: nearest neighbours and their distance in Å.
Atoms (fractional coordinates):
H: 0.2590 0.2590 0.2590  3 Dy 2.25, 1 Pr 2.36
H: 0.7410 0.2590 0.2590  3 Dy 2.25, 1 Pr 2.36
H: 0.7410 0.2590 0.7410  3 Dy 2.25, 1 Pr 2.36
H: 0.7410 0.7410 0.7410  3 Dy 2.25, 1 Pr 2.36
H: 0.7410 0.7410 0.2590  3 Dy 2.25, 1 Pr 2.36
H: 0.2590 0.2590 0.7410  3 Dy 2.25, 1 Pr 2.36
H: 0.2590 0.7410 0.2590  3 Dy 2.25, 1 Pr 2.36
H: 0.2590 0.7410 0.7410  3 Dy 2.25, 1 Pr 2.36
Dy: 0.5000 0.5000 0.0000  8 H 2.25
Dy: 0.0000 0.5000 0.5000  8 H 2.25
Dy: 0.5000 0.0000 0.5000  8 H 2.25
Pr: 0.0000 0.0000 0.0000  8 H 2.36

---

Asked for electronic total energy across the records above, the calculation gives -35.55 -24.52 -23.45 -13.54 -83.55 -20.46 -18.09 -13.65 -103.01 -20.27 -26.73 -53.72 eV for the cell shown in order.
Asked for DOS(E_F) across the records above, the calculation gives 0.000 1.650 1.323 0.529 0.000 0.813 2.182 0.859 1.207 1.523 0.450 0.175 states/eV per atom in order.